Record 1
The following is a GGA-PBE calculation of YAlAg2 after structural relaxation, from the Open Quantum Materials Database.

Properties
magnetic moment	0.031	μB/atom

a = 4.9475 Å, b = 4.9475 Å, c = 7.8250 Å
α = 90.00°, β = 90.00°, γ = 120.00°
Closest atoms and distances in Å follow each position.
Space group P6_3/mmc (No. 194)
Inequivalent atoms, fractional coordinates:
Y: 0.0000 0.0000 0.2500 x2  3 Al 2.86, 6 Ag 3.18
Al: 0.3333 0.6667 0.2500 x2  2 Ag 2.52
Ag: 0.3333 0.6667 0.5723 x4  1 Al 2.52, 1 Ag 2.78

Record 2
The following is a GGA-PBE calculation of YAl2Ag2 after structural relaxation, from the Open Quantum Materials Database.

Properties
magnetic moment	0.004	μB/atom

a = 4.2727 Å, b = 4.2727 Å, c = 10.9288 Å
α = 90.00°, β = 90.00°, γ = 90.00°
Closest atoms and distances in Å follow each position.
Space group I4/mmm (No. 139)
Inequivalent atoms, fractional coordinates:
Y: 0.0000 0.0000 0.0000 x2  8 Al 3.27, 8 Ag 3.47
Al: 0.0000 0.0000 0.3860 x4  1 Al 2.49, 4 Ag 2.60
Ag: 0.0000 0.5000 0.2500 x4  4 Al 2.60

Record 3
The following is a GGA-PBE calculation of YAlAg2 after structural relaxation, from the Open Quantum Materials Database.

Properties
magnetic moment	0.002	μB/atom

a = 4.4749 Å, b = 4.4749 Å, c = 4.1223 Å
α = 90.00°, β = 90.00°, γ = 90.00°
Closest atoms and distances in Å follow each position.
Space group P4/mmm (No. 123)
Inequivalent atoms, fractional coordinates:
Y: 0.0000 0.0000 0.0000 x1  8 Ag 3.04, 4 Al 3.16
Al: 0.5000 0.5000 0.0000 x1  8 Ag 3.04, 4 Y 3.16
Ag: 0.0000 0.5000 0.5000 x2  4 Al 3.04, 4 Y 3.04, 4 Ag 3.16

Record 4
The following is a GGA-PBE calculation of YAl2Ag2 after structural relaxation, from the Open Quantum Materials Database.

Properties
magnetic moment	0.001	μB/atom

a = 4.1761 Å, b = 4.1761 Å, c = 11.5177 Å
α = 90.00°, β = 90.00°, γ = 90.00°
Closest atoms and distances in Å follow each position.
Space group I4/mmm (No. 139)
Inequivalent atoms, fractional coordinates:
Y: 0.0000 0.0000 0.0000 x2  8 Ag 3.24, 8 Al 3.56
Al: 0.0000 0.5000 0.2500 x4  4 Ag 2.60
Ag: 0.0000 0.0000 0.3844 x4  4 Al 2.60, 1 Ag 2.66

Record 5
The following is a GGA-PBE calculation of YAlAg2 after structural relaxation, from the Open Quantum Materials Database.

Properties
magnetic moment	0.000	μB/atom

a = 4.5840 Å, b = 4.5840 Å, c = 9.0263 Å
α = 90.00°, β = 90.00°, γ = 120.00°
Closest atoms and distances in Å follow each position.
Space group P6_3/mmc (No. 194)
Inequivalent atoms, fractional coordinates:
Y: 0.3333 0.6667 0.2500 x2  8 Ag 3.02-3.04
Al: 0.0000 0.0000 0.0000 x2  6 Ag 2.75
Ag: 0.3333 0.6667 0.5845 x4  3 Al 2.75, 4 Ag 2.99-3.05, 4 Y 3.02-3.04

Record 6
The following is a GGA-PBE calculation of AlZn2Ag after structural relaxation, from the Open Quantum Materials Database.

a = 6.3632 Å, b = 6.3632 Å, c = 6.3632 Å
α = 90.00°, β = 90.00°, γ = 90.00°
Closest atoms and distances in Å follow each position.
Space group F-43m (No. 216)
Inequivalent atoms, fractional coordinates:
Al: 0.0000 0.0000 0.0000 x4  4 Zn 2.76, 4 Ag 2.76
Zn: 0.0000 0.0000 0.5000 x4  4 Zn 2.76, 4 Ag 2.76
Zn: 0.2500 0.2500 0.7500 x4  4 Al 2.76, 4 Zn 2.76
Ag: 0.2500 0.2500 0.2500 x4  4 Al 2.76, 4 Zn 2.76

Record 7
The following is a GGA-PBE calculation of Al2ZnAg after structural relaxation, from the Open Quantum Materials Database.

a = 6.5003 Å, b = 6.5003 Å, c = 6.5003 Å
α = 90.00°, β = 90.00°, γ = 90.00°
Closest atoms and distances in Å follow each position.
Space group F-43m (No. 216)
Inequivalent atoms, fractional coordinates:
Al: 0.0000 0.0000 0.0000 x4  4 Ag 2.81, 4 Al 2.81
Al: 0.2500 0.2500 0.2500 x4  4 Al 2.81, 4 Zn 2.81
Zn: 0.0000 0.0000 0.5000 x4  4 Al 2.81, 4 Ag 2.81
Ag: 0.2500 0.2500 0.7500 x4  4 Zn 2.81, 4 Al 2.81

Record 8
The following is a GGA-PBE calculation of AlZnAg after structural relaxation, from the Open Quantum Materials Database.

Properties
ΔE to the lowest computed polymorph	0	meV/atom

a = 6.0929 Å, b = 6.0929 Å, c = 6.0929 Å
α = 90.00°, β = 90.00°, γ = 90.00°
Closest atoms and distances in Å follow each position.
Space group F-43m (No. 216)
Inequivalent atoms, fractional coordinates:
Al: 0.0000 0.0000 0.0000 x4  4 Ag 2.64
Zn: 0.0000 0.0000 0.5000 x4  4 Ag 2.64
Ag: 0.2500 0.2500 0.2500 x4  4 Al 2.64, 4 Zn 2.64

Record 9
The following is a GGA-PBE calculation of AlZnAg2 after structural relaxation, from the Open Quantum Materials Database.

a = 6.4439 Å, b = 6.4439 Å, c = 6.4439 Å
α = 90.00°, β = 90.00°, γ = 90.00°
Closest atoms and distances in Å follow each position.
Space group F-43m (No. 216)
Inequivalent atoms, fractional coordinates:
Al: 0.0000 0.0000 0.0000 x4  4 Zn 2.79, 4 Ag 2.79
Zn: 0.2500 0.2500 0.2500 x4  4 Al 2.79, 4 Ag 2.79
Ag: 0.0000 0.0000 0.5000 x4  4 Zn 2.79, 4 Ag 2.79
Ag: 0.2500 0.2500 0.7500 x4  4 Al 2.79, 4 Ag 2.79

Record 10
The following is a GGA-PBE calculation of Al2ZnAg after structural relaxation, from the Open Quantum Materials Database.

a = 6.4989 Å, b = 6.4989 Å, c = 6.4989 Å
α = 90.00°, β = 90.00°, γ = 90.00°
Closest atoms and distances in Å follow each position.
Space group F-43m (No. 216)
Inequivalent atoms, fractional coordinates:
Al: 0.0000 0.0000 0.0000 x4  4 Al 2.81, 4 Zn 2.81
Al: 0.2500 0.2500 0.2500 x4  4 Ag 2.81, 4 Al 2.81
Zn: 0.2500 0.2500 0.7500 x4  4 Al 2.81, 4 Ag 2.81
Ag: 0.0000 0.0000 0.5000 x4  4 Al 2.81, 4 Zn 2.81

Record 11
The following is a GGA-PBE calculation of AlZn2Ag2 after structural relaxation, from the Open Quantum Materials Database.

a = 3.6309 Å, b = 3.6309 Å, c = 13.0261 Å
α = 90.00°, β = 90.00°, γ = 90.00°
Closest atoms and distances in Å follow each position.
Space group I4/mmm (No. 139)
Inequivalent atoms, fractional coordinates:
Al: 0.0000 0.0000 0.0000 x2  8 Ag 2.89
Zn: 0.0000 0.5000 0.2500 x4  4 Zn 2.57, 4 Ag 2.66
Ag: 0.0000 0.0000 0.3987 x4  1 Ag 2.64, 4 Zn 2.66, 4 Al 2.89

Record 12
The following is a GGA-PBE calculation of AlZnAg6 after structural relaxation, from the Open Quantum Materials Database.

a = 5.7998 Å, b = 5.7998 Å, c = 4.7132 Å
α = 90.00°, β = 90.00°, γ = 120.00°
Closest atoms and distances in Å follow each position.
Space group P-6m2 (No. 187)
Inequivalent atoms, fractional coordinates:
Al: 0.0000 0.0000 0.0000 x1  12 Ag 2.88-2.90
Zn: 0.6667 0.3333 0.5000 x1  12 Ag 2.88-2.90
Ag: 0.1645 0.3290 0.5000 x3  8 Ag 2.86-2.94, 2 Al 2.88, 2 Zn 2.90
Ag: 0.5020 0.0039 0.0000 x3  8 Ag 2.87-2.93, 2 Zn 2.88, 2 Al 2.90

Record 13
The following is a GGA-PBE calculation of AlZnAg after structural relaxation, from the Open Quantum Materials Database.

Properties
ΔE to the lowest computed polymorph	45	meV/atom

a = 6.0910 Å, b = 6.0910 Å, c = 6.0910 Å
α = 90.00°, β = 90.00°, γ = 90.00°
Closest atoms and distances in Å follow each position.
Space group F-43m (No. 216)
Inequivalent atoms, fractional coordinates:
Al: 0.0000 0.0000 0.0000 x4  4 Ag 2.64, 4 Zn 2.64
Zn: 0.2500 0.2500 0.2500 x4  4 Al 2.64
Ag: 0.2500 0.2500 0.7500 x4  4 Al 2.64

Record 14
The following is a GGA-PBE calculation of AlZnAg after structural relaxation, from the Open Quantum Materials Database.

Properties
ΔE to the lowest computed polymorph	68	meV/atom

a = 3.2934 Å, b = 3.2934 Å, c = 19.8716 Å
α = 90.00°, β = 90.00°, γ = 90.00°
Closest atoms and distances in Å follow each position.
Space group I4/mmm (No. 139)
Inequivalent atoms, fractional coordinates:
Al: 0.0000 0.0000 0.2126 x4  5 Zn 2.74-2.93, 4 Al 2.76, 1 Ag 2.83
Zn: 0.0000 0.0000 0.3601 x4  4 Ag 2.71, 5 Al 2.74-2.93
Ag: 0.0000 0.0000 0.0703 x4  4 Zn 2.71, 1 Ag 2.79, 1 Al 2.83

Record 15
The following is a GGA-PBE calculation of ZrAl2Ag after structural relaxation, from the Open Quantum Materials Database.

Properties
magnetic moment	0.002	μB/atom

a = 6.6206 Å, b = 6.6206 Å, c = 6.6206 Å
α = 90.00°, β = 90.00°, γ = 90.00°
Closest atoms and distances in Å follow each position.
Space group F-43m (No. 216)
Inequivalent atoms, fractional coordinates:
Zr: 0.0000 0.0000 0.0000 x4  4 Al 2.87, 4 Ag 2.87
Al: 0.0000 0.0000 0.5000 x4  4 Al 2.87, 4 Ag 2.87
Al: 0.2500 0.2500 0.7500 x4  4 Zr 2.87, 4 Al 2.87
Ag: 0.2500 0.2500 0.2500 x4  4 Zr 2.87, 4 Al 2.87

Record 16
The following is a GGA-PBE calculation of Zr2AlAg2 after structural relaxation, from the Open Quantum Materials Database.

Properties
magnetic moment	0.002	μB/atom

a = 4.1761 Å, b = 4.1761 Å, c = 12.7397 Å
α = 90.00°, β = 90.00°, γ = 90.00°
Closest atoms and distances in Å follow each position.
Space group I4/mmm (No. 139)
Inequivalent atoms, fractional coordinates:
Zr: 0.0000 0.5000 0.2500 x4  4 Ag 2.84, 4 Zr 2.95
Al: 0.0000 0.0000 0.0000 x2  8 Ag 3.21
Ag: 0.0000 0.0000 0.4015 x4  1 Ag 2.51

Record 17
The following is a GGA-PBE calculation of Zr2AlAg after structural relaxation, from the Open Quantum Materials Database.

Properties
magnetic moment	0.760	μB/atom

a = 6.8753 Å, b = 6.8753 Å, c = 6.8753 Å
α = 90.00°, β = 90.00°, γ = 90.00°
Closest atoms and distances in Å follow each position.
Space group F-43m (No. 216)
Inequivalent atoms, fractional coordinates:
Zr: 0.0000 0.0000 0.0000 x4  4 Zr 2.98, 4 Ag 2.98
Zr: 0.2500 0.2500 0.2500 x4  4 Al 2.98, 4 Zr 2.98
Al: 0.0000 0.0000 0.5000 x4  4 Ag 2.98, 4 Zr 2.98
Ag: 0.2500 0.2500 0.7500 x4  4 Zr 2.98, 4 Al 2.98

Record 18
The following is a GGA-PBE calculation of ZrAl2Ag after structural relaxation, from the Open Quantum Materials Database.

Properties
magnetic moment	0.000	μB/atom

a = 6.6214 Å, b = 6.6214 Å, c = 6.6214 Å
α = 90.00°, β = 90.00°, γ = 90.00°
Closest atoms and distances in Å follow each position.
Space group F-43m (No. 216)
Inequivalent atoms, fractional coordinates:
Zr: 0.0000 0.0000 0.0000 x4  4 Ag 2.87, 4 Al 2.87
Al: 0.0000 0.0000 0.5000 x4  4 Al 2.87, 4 Ag 2.87
Al: 0.2500 0.2500 0.2500 x4  4 Zr 2.87, 4 Al 2.87
Ag: 0.2500 0.2500 0.7500 x4  4 Zr 2.87, 4 Al 2.87

Record 19
The following is a GGA-PBE calculation of ZrAlAg2 after structural relaxation, from the Open Quantum Materials Database.

Properties
magnetic moment	0.000	μB/atom

a = 6.6198 Å, b = 6.6198 Å, c = 6.6198 Å
α = 90.00°, β = 90.00°, γ = 90.00°
Closest atoms and distances in Å follow each position.
Space group F-43m (No. 216)
Inequivalent atoms, fractional coordinates:
Zr: 0.0000 0.0000 0.0000 x4  4 Al 2.87, 4 Ag 2.87
Al: 0.2500 0.2500 0.7500 x4  4 Zr 2.87, 4 Ag 2.87
Ag: 0.0000 0.0000 0.5000 x4  4 Al 2.87, 4 Ag 2.87
Ag: 0.2500 0.2500 0.2500 x4  4 Zr 2.87, 4 Ag 2.87

Record 20
The following is a GGA-PBE calculation of AgAs after structural relaxation, from the Open Quantum Materials Database.

Properties
ΔE to the lowest computed polymorph	347	meV/atom

a = 5.8389 Å, b = 5.8389 Å, c = 5.8389 Å
α = 90.00°, β = 90.00°, γ = 90.00°
Closest atoms and distances in Å follow each position.
Space group F-43m (No. 216)
Inequivalent atoms, fractional coordinates:
Ag: 0.0000 0.0000 0.0000 x4  4 As 2.53
As: 0.2500 0.2500 0.2500 x4  4 Ag 2.53

Record 21
The following is a GGA-PBE calculation of AgAs after structural relaxation, from the Open Quantum Materials Database.

Properties
ΔE to the lowest computed polymorph	148	meV/atom

a = 5.4167 Å, b = 5.4167 Å, c = 5.4167 Å
α = 90.00°, β = 90.00°, γ = 90.00°
Closest atoms and distances in Å follow each position.
Space group Fm-3m (No. 225)
Inequivalent atoms, fractional coordinates:
Ag: 0.0000 0.0000 0.0000 x4  6 As 2.71
As: 0.0000 0.0000 0.5000 x4  6 Ag 2.71

Record 22
The following is a GGA-PBE calculation of Ag7As after structural relaxation, from the Open Quantum Materials Database.

Properties
ΔE to the lowest computed polymorph	4	meV/atom

a = 2.8754 Å, b = 4.0768 Å, c = 30.3790 Å
α = 90.00°, β = 90.00°, γ = 90.00°
Closest atoms and distances in Å follow each position.
Space group Pmmn (No. 59, origin choice 2)
Inequivalent atoms, fractional coordinates:
Ag: 0.2500 0.2500 0.0243 x2  12 Ag 2.88-2.97
Ag: 0.2500 0.2500 0.1221 x2  12 Ag 2.88-2.98
Ag: 0.2500 0.2500 0.2201 x2  12 Ag 2.88-3.10
Ag: 0.2500 0.2500 0.3221 x2  4 As 2.76, 6 Ag 2.88-2.97
Ag: 0.2500 0.2500 0.7308 x2  1 As 2.79, 11 Ag 2.88-2.97
Ag: 0.2500 0.2500 0.8282 x2  12 Ag 2.88-2.98
Ag: 0.2500 0.2500 0.9264 x2  12 Ag 2.88-2.98
As: 0.2500 0.2500 0.6388 x2  5 Ag 2.76-2.79, 2 As 2.88

Record 23
The following is a GGA-PBE calculation of Ag9As after structural relaxation, from the Open Quantum Materials Database.

Properties
ΔE to the lowest computed polymorph	0	meV/atom

a = 2.8941 Å, b = 2.8941 Å, c = 52.1386 Å
α = 90.00°, β = 90.00°, γ = 90.00°
Closest atoms and distances in Å follow each position.
Space group P4/nmm (No. 129, origin choice 2)
Inequivalent atoms, fractional coordinates:
Ag: 0.2500 0.2500 0.0195 x2  12 Ag 2.88-2.89
Ag: 0.2500 0.2500 0.0974 x2  12 Ag 2.89
Ag: 0.2500 0.2500 0.1757 x2  12 Ag 2.89-2.90
Ag: 0.2500 0.2500 0.2549 x2  12 Ag 2.89-2.92
Ag: 0.2500 0.2500 0.3358 x2  8 Ag 2.89-2.95, 4 As 2.91
Ag: 0.2500 0.2500 0.7051 x2  12 Ag 2.89-2.95
Ag: 0.2500 0.2500 0.7848 x2  12 Ag 2.89-2.91
Ag: 0.2500 0.2500 0.8635 x2  12 Ag 2.89-2.90
Ag: 0.2500 0.2500 0.9417 x2  12 Ag 2.88-2.89
As: 0.2500 0.2500 0.6245 x2  4 As 2.89, 4 Ag 2.91

Record 24
The following is a GGA-PBE calculation of AgAs after structural relaxation, from the Open Quantum Materials Database.

Properties
ΔE to the lowest computed polymorph	103	meV/atom

a = 3.0198 Å, b = 3.0198 Å, c = 4.7654 Å
α = 90.00°, β = 90.00°, γ = 120.00°
Closest atoms and distances in Å follow each position.
Space group P-6m2 (No. 187)
Inequivalent atoms, fractional coordinates:
Ag: 0.0000 0.0000 0.0000 x1  6 As 2.95, 6 Ag 3.02
As: 0.6667 0.3333 0.5000 x1  6 Ag 2.95, 6 As 3.02

Record 25
The following is a GGA-PBE calculation of AgAs after structural relaxation, from the Open Quantum Materials Database.

Properties
ΔE to the lowest computed polymorph	0	meV/atom

a = 5.3798 Å, b = 3.6742 Å, c = 7.7352 Å
α = 90.00°, β = 90.00°, γ = 90.00°
Closest atoms and distances in Å follow each position.
Space group Pmma (No. 51)
Inequivalent atoms, fractional coordinates:
Ag: 0.0000 0.0000 0.0000 x2  6 Ag 2.69-2.91, 4 As 3.00
Ag: 0.2500 0.5000 0.2340 x2  4 As 2.69-2.81, 4 Ag 2.91
As: 0.2500 0.0000 0.5092 x2  4 As 2.60-2.69, 2 Ag 2.81
As: 0.2500 0.5000 0.7474 x2  2 As 2.60, 2 Ag 2.69

Record 26
The following is a GGA-PBE calculation of Ag7As2 after structural relaxation, from the Open Quantum Materials Database.

a = 2.8873 Å, b = 2.8873 Å, c = 29.5576 Å
α = 90.00°, β = 90.00°, γ = 120.00°
Closest atoms and distances in Å follow each position.
Space group P-3m1 (No. 164)
Inequivalent atoms, fractional coordinates:
Ag: 0.0000 0.0000 0.0000 x1  12 Ag 2.89-2.93
Ag: 0.0000 0.0000 0.2445 x2  3 As 2.86, 9 Ag 2.89-2.93
Ag: 0.3333 0.6667 0.1630 x2  12 Ag 2.89-2.93
Ag: 0.3333 0.6667 0.9184 x2  12 Ag 2.89-2.93
As: 0.3333 0.6667 0.6769 x2  3 Ag 2.86, 6 As 2.89

Record 27
The following is a GGA-PBE calculation of AgAs after structural relaxation, from the Open Quantum Materials Database.

Properties
ΔE to the lowest computed polymorph	73	meV/atom

a = 4.9746 Å, b = 2.9349 Å, c = 5.1280 Å
α = 90.00°, β = 90.00°, γ = 90.00°
Closest atoms and distances in Å follow each position.
Space group Pmma (No. 51)
Inequivalent atoms, fractional coordinates:
Ag: 0.2500 0.0000 0.1654 x2  4 Ag 2.93-3.01, 8 As 2.95-3.01
As: 0.2500 0.5000 0.6662 x2  4 As 2.93-3.02, 8 Ag 2.95-3.01

What electronic total energy values result from the calculations? In sequence: -16.3; -21.2; -16.6; -21.1; -17.2; -8.8; -11.0; -7.6; -10.6; -11.0; -11.3; -22.3; -7.5; -7.4; -19.0; -24.5; -23.1; -19.0; -18.4; -6.5; -6.9; -23.9; -29.5; -7.0; -7.2; -28.0; -7.0 eV/f.u..